No. 1
Density functional theory data (PBE) for TiFeAs2 after structural relaxation.

V	15.39	Å³ per atom
relative energy among the computed polymorphs	0.000	eV/atom
energy of formation from the pure elements	-0.308	eV/atom
DOS at the Fermi energy	0.449	states/eV/atom

Cell lengths 3.699, 3.699, 5.618 Å; angles 70.78, 70.78, 60.00 degrees
Sites, in units of the cell vectors:
Ti 0.500 0.500 0.500
Fe 0.000 0.000 0.000
As 0.738 0.738 0.786
As 0.262 0.262 0.214

No. 2
Density functional theory data (PBE) for Ti2FeAs2 after structural relaxation.

V	14.81	Å³ per atom
relative energy among the computed polymorphs	0.148	eV/atom
energy of formation from the pure elements	-0.519	eV/atom
DOS at the Fermi energy	0.555	states/eV/atom

Cell lengths 6.104, 6.104, 3.976 Å; angles 90.00, 90.00, 90.00 degrees
Sites, in units of the cell vectors:
As 0.148 0.352 0.000
As 0.852 0.648 0.000
As 0.352 0.852 0.000
As 0.648 0.148 0.000
Ti 0.340 0.160 0.500
Ti 0.160 0.660 0.500
Ti 0.660 0.840 0.500
Ti 0.840 0.340 0.500
Fe 0.000 0.000 0.000
Fe 0.500 0.500 0.000

No. 3
Density functional theory data (PBE) for Ti8FeAs2 after structural relaxation.

V	16.01	Å³ per atom
energy of formation from the pure elements	-0.427	eV/atom
DOS at the Fermi energy	0.952	states/eV/atom

Cell lengths 3.752, 6.692, 7.779 Å; angles 111.05, 103.95, 90.00 degrees
Sites, in units of the cell vectors:
Ti 0.418 0.547 0.837
Ti 0.967 0.189 0.934
Ti 0.179 0.281 0.358
Ti 0.670 0.938 0.340
Ti 0.582 0.453 0.163
Ti 0.330 0.062 0.660
Ti 0.033 0.811 0.066
Ti 0.821 0.719 0.642
As 0.191 0.684 0.382
As 0.809 0.316 0.618
Fe 0.500 0.000 0.000

No. 4
Density functional theory data (PBE) for TiFeAsW2 after structural relaxation.

V	17.88	Å³ per atom
energy of formation from the pure elements	0.949	eV/atom
DOS at the Fermi energy	1.101	states/eV/atom

Cell lengths 4.504, 4.504, 4.407 Å; angles 90.00, 90.00, 90.00 degrees
Sites, in units of the cell vectors:
Ti 0.000 0.000 0.500
W 0.000 0.500 0.000
W 0.500 0.000 0.000
As 0.500 0.500 0.500
Fe 0.000 0.000 0.000

No. 5
Density functional theory data (PBE) for TiFe2AsW after structural relaxation.

V	16.82	Å³ per atom
energy of formation from the pure elements	1.598	eV/atom
DOS at the Fermi energy	1.772	states/eV/atom

Cell lengths 4.190, 4.789, 4.190 Å; angles 90.00, 90.00, 90.00 degrees
Sites, in units of the cell vectors:
Fe 0.500 0.000 0.000
Fe 0.000 0.000 0.500
W 0.000 0.500 0.000
Ti 0.000 0.000 0.000
As 0.500 0.500 0.500

No. 6
Density functional theory data (PBE) for Tl3FeAs after structural relaxation.

V	27.88	Å³ per atom
relative energy among the computed polymorphs	0.000	eV/atom
energy of formation from the pure elements	0.537	eV/atom
DOS at the Fermi energy	0.816	states/eV/atom

Cell lengths 5.185, 5.185, 5.185 Å; angles 90.00, 90.00, 90.00 degrees
Sites, in units of the cell vectors:
Tl 0.000 0.500 0.000
Tl 0.000 0.000 0.500
Tl 0.500 0.000 0.000
As 0.500 0.500 0.500
Fe 0.000 0.000 0.000

Q: Number 5 is which compound?
A: TiFe2AsW

Q: Number 4 is which compound?
A: TiFeAsW2

Q: Which value of DOS at the Fermi energy does entry 6 give?
A: 0.816 states/eV/atom

Copy entry 3 word for word.
Density functional theory data (PBE) for Ti8FeAs2 after structural relaxation.

V	16.01	Å³ per atom
energy of formation from the pure elements	-0.427	eV/atom
DOS at the Fermi energy	0.952	states/eV/atom

Cell lengths 3.752, 6.692, 7.779 Å; angles 111.05, 103.95, 90.00 degrees
Sites, in units of the cell vectors:
Ti 0.418 0.547 0.837
Ti 0.967 0.189 0.934
Ti 0.179 0.281 0.358
Ti 0.670 0.938 0.340
Ti 0.582 0.453 0.163
Ti 0.330 0.062 0.660
Ti 0.033 0.811 0.066
Ti 0.821 0.719 0.642
As 0.191 0.684 0.382
As 0.809 0.316 0.618
Fe 0.500 0.000 0.000